1.
Crystalline TaPd8Pt6 at its relaxed geometry. Source: Alexandria, functional PBE.

a = 6.874 Å, b = 6.874 Å, c = 6.874 Å
α = 65.43°, β = 65.43°, γ = 65.43°
Fractional coordinates of all 15 atoms:
Ta (0.000, 0.000, 0.000)
Pd (0.137, 0.413, 0.835)
Pd (0.165, 0.863, 0.587)
Pd (0.252, 0.252, 0.252)
Pd (0.413, 0.835, 0.137)
Pd (0.587, 0.165, 0.863)
Pd (0.748, 0.748, 0.748)
Pd (0.835, 0.137, 0.413)
Pd (0.863, 0.587, 0.165)
Pt (0.070, 0.676, 0.370)
Pt (0.324, 0.630, 0.930)
Pt (0.370, 0.070, 0.676)
Pt (0.630, 0.930, 0.324)
Pt (0.676, 0.370, 0.070)
Pt (0.930, 0.324, 0.630)

Results
**ρ**: 14.240 g cm⁻³
**Crystal system**: trigonal
**N(E_F)**: 25.4 states/eV/cell
**Space group**: R-3 (148)
**Calculated formation energy**: 0.018 eV/atom
**Volume**: 17.13 Å³ per atom

2.
Crystalline TaPdPt3 at its relaxed geometry. Source: Alexandria, functional PBE.

a = 4.831 Å, b = 4.831 Å, c = 4.831 Å
α = 90.00°, β = 90.00°, γ = 90.00°
Fractional coordinates of all 5 atoms:
Ta (0.000, 0.000, 0.000)
Pd (0.500, 0.500, 0.500)
Pt (0.000, 0.000, 0.500)
Pt (0.000, 0.500, 0.000)
Pt (0.500, 0.000, 0.000)

Results
**Energy above the lowest structure with this stoichiometry**: 1540.2 meV/atom
**ρ**: 12.854 g cm⁻³
**Crystal system**: cubic
**N(E_F)**: 3.1 states/eV/cell
**Space group**: Pm-3m (221)
**Calculated formation energy**: 0.979 eV/atom
**Volume**: 22.55 Å³ per atom

3.
Crystalline Ta2Pd5Pt at its relaxed geometry. Source: Alexandria, functional PBE.

a = 5.627 Å, b = 11.268 Å, c = 3.972 Å
α = 90.00°, β = 90.00°, γ = 90.00°
Fractional coordinates of all 16 atoms:
Ta (0.242, 0.124, 0.000)
Ta (0.258, 0.624, 0.000)
Ta (0.742, 0.376, 0.000)
Ta (0.758, 0.876, 0.000)
Pd (0.000, 0.500, 0.500)
Pd (0.007, 0.751, 0.500)
Pd (0.242, 0.373, 0.000)
Pd (0.258, 0.873, 0.000)
Pd (0.493, 0.251, 0.500)
Pd (0.500, 0.000, 0.500)
Pd (0.507, 0.749, 0.500)
Pd (0.742, 0.127, 0.000)
Pd (0.758, 0.627, 0.000)
Pd (0.993, 0.249, 0.500)
Pt (0.000, 0.000, 0.500)
Pt (0.500, 0.500, 0.500)

Results
**ρ**: 14.359 g cm⁻³
**Crystal system**: orthorhombic
**N(E_F)**: 21.1 states/eV/cell
**Space group**: Pbam (55)
**Calculated formation energy**: -0.361 eV/atom
**Volume**: 15.74 Å³ per atom

4.
Crystalline TaPd3Pt6 at its relaxed geometry. Source: Alexandria, functional PBE.

a = 8.870 Å, b = 3.971 Å, c = 8.973 Å
α = 90.00°, β = 90.76°, γ = 90.00°
Fractional coordinates of all 20 atoms:
Ta (0.063, 0.250, 0.379)
Ta (0.937, 0.750, 0.621)
Pd (0.251, 0.250, 0.992)
Pd (0.349, 0.750, 0.795)
Pd (0.450, 0.250, 0.600)
Pd (0.550, 0.750, 0.400)
Pd (0.651, 0.250, 0.205)
Pd (0.749, 0.750, 0.008)
Pt (0.050, 0.750, 0.897)
Pt (0.137, 0.250, 0.687)
Pt (0.153, 0.750, 0.201)
Pt (0.238, 0.750, 0.499)
Pt (0.350, 0.250, 0.300)
Pt (0.449, 0.750, 0.097)
Pt (0.551, 0.250, 0.903)
Pt (0.650, 0.750, 0.700)
Pt (0.762, 0.250, 0.501)
Pt (0.847, 0.250, 0.799)
Pt (0.863, 0.750, 0.313)
Pt (0.950, 0.250, 0.103)

Results
**ρ**: 17.558 g cm⁻³
**Crystal system**: monoclinic
**N(E_F)**: 24.1 states/eV/cell
**Space group**: P2_1/m (11)
**Calculated formation energy**: -0.321 eV/atom
**Volume**: 15.80 Å³ per atom

5.
Crystalline TaPd3Pt4 at its relaxed geometry. Source: Alexandria, functional PBE.

a = 8.391 Å, b = 8.391 Å, c = 8.391 Å
α = 152.51°, β = 152.51°, γ = 39.27°
Fractional coordinates of all 8 atoms:
Ta (0.000, 0.000, 0.000)
Pd (0.253, 0.253, 0.000)
Pd (0.500, 0.500, 0.000)
Pd (0.747, 0.747, 0.000)
Pt (0.121, 0.621, 0.500)
Pt (0.379, 0.879, 0.500)
Pt (0.621, 0.121, 0.500)
Pt (0.879, 0.379, 0.500)

Results
**Energy above the lowest structure with this stoichiometry**: 0.0 meV/atom
**ρ**: 16.917 g cm⁻³
**Crystal system**: tetragonal
**N(E_F)**: 9.0 states/eV/cell
**Space group**: I4/mmm (139)
**Calculated formation energy**: -0.415 eV/atom
**Volume**: 15.71 Å³ per atom

6.
Crystalline TaPd3Pt4 at its relaxed geometry. Source: Alexandria, functional PBE.

a = 9.853 Å, b = 9.853 Å, c = 9.853 Å
α = 163.38°, β = 152.17°, γ = 32.59°
Fractional coordinates of all 8 atoms:
Ta (0.000, 0.000, 0.000)
Pd (0.253, 0.253, 0.000)
Pd (0.500, 0.500, 0.000)
Pd (0.747, 0.747, 0.000)
Pt (0.124, 0.624, 0.500)
Pt (0.377, 0.877, 0.500)
Pt (0.623, 0.123, 0.500)
Pt (0.876, 0.376, 0.500)

Results
**Energy above the lowest structure with this stoichiometry**: 245.8 meV/atom
**ρ**: 16.664 g cm⁻³
**Crystal system**: orthorhombic
**N(E_F)**: 9.2 states/eV/cell
**Space group**: Immm (71)
**Calculated formation energy**: -0.170 eV/atom
**Volume**: 15.95 Å³ per atom

7.
Crystalline TaPd2Pt at its relaxed geometry. Source: Alexandria, functional PBE.

a = 3.941 Å, b = 3.941 Å, c = 4.064 Å
α = 90.00°, β = 90.00°, γ = 90.00°
Fractional coordinates of all 4 atoms:
Ta (0.000, 0.000, 0.000)
Pd (0.000, 0.500, 0.500)
Pd (0.500, 0.000, 0.500)
Pt (0.500, 0.500, 0.000)

Results
**ρ**: 15.492 g cm⁻³
**Crystal system**: tetragonal
**N(E_F)**: 5.5 states/eV/cell
**Space group**: P4/mmm (123)
**Calculated formation energy**: -0.414 eV/atom
**Volume**: 15.78 Å³ per atom

8.
Crystalline Ta2Pd6Pt at its relaxed geometry. Source: Alexandria, functional PBE.

a = 6.334 Å, b = 6.334 Å, c = 6.366 Å
α = 107.76°, β = 107.76°, γ = 35.92°
Fractional coordinates of all 9 atoms:
Ta (0.060, 0.060, 0.323)
Ta (0.940, 0.940, 0.677)
Pd (0.164, 0.164, 0.002)
Pd (0.280, 0.280, 0.663)
Pd (0.396, 0.396, 0.337)
Pd (0.604, 0.604, 0.663)
Pd (0.720, 0.720, 0.337)
Pd (0.836, 0.836, 0.998)
Pt (0.500, 0.500, 0.000)

Results
**ρ**: 13.990 g cm⁻³
**Crystal system**: monoclinic
**N(E_F)**: 4.9 states/eV/cell
**Space group**: C2/m (12)
**Calculated formation energy**: -0.440 eV/atom
**Volume**: 15.77 Å³ per atom

9.
Crystalline Ta2Pd5Pt5 at its relaxed geometry. Source: Alexandria, functional PBE.

a = 6.584 Å, b = 6.584 Å, c = 7.396 Å
α = 114.88°, β = 114.88°, γ = 42.29°
Fractional coordinates of all 12 atoms:
Ta (0.161, 0.161, 0.316)
Ta (0.839, 0.839, 0.684)
Pd (0.328, 0.328, 0.162)
Pd (0.412, 0.412, 0.580)
Pd (0.500, 0.500, 0.000)
Pd (0.588, 0.588, 0.420)
Pd (0.672, 0.672, 0.838)
Pt (0.000, 0.000, 0.500)
Pt (0.079, 0.079, 0.908)
Pt (0.244, 0.244, 0.726)
Pt (0.756, 0.756, 0.274)
Pt (0.921, 0.921, 0.092)

Results
**Energy above the lowest structure with this stoichiometry**: 128.1 meV/atom
**ρ**: 16.122 g cm⁻³
**Crystal system**: monoclinic
**N(E_F)**: 7.5 states/eV/cell
**Space group**: C2/m (12)
**Calculated formation energy**: -0.389 eV/atom
**Volume**: 16.05 Å³ per atom

10.
Crystalline TaPd2Pt at its relaxed geometry. Source: Alexandria, functional PBE.

a = 4.601 Å, b = 5.532 Å, c = 4.951 Å
α = 90.00°, β = 90.00°, γ = 90.00°
Fractional coordinates of all 8 atoms:
Ta (0.250, 0.250, 0.150)
Ta (0.750, 0.750, 0.850)
Pd (0.250, 0.000, 0.657)
Pd (0.250, 0.500, 0.657)
Pd (0.750, 0.000, 0.343)
Pd (0.750, 0.500, 0.343)
Pt (0.250, 0.750, 0.150)
Pt (0.750, 0.250, 0.850)

Results
**ρ**: 15.520 g cm⁻³
**Crystal system**: orthorhombic
**N(E_F)**: 4.2 states/eV/cell
**Space group**: Pmmn (59)
**Calculated formation energy**: -0.574 eV/atom
**Volume**: 15.75 Å³ per atom

11.
Crystalline Ta2PdPt3 at its relaxed geometry. Source: Alexandria, functional PBE.

a = 7.436 Å, b = 7.436 Å, c = 5.605 Å
α = 90.00°, β = 90.00°, γ = 40.00°
Fractional coordinates of all 12 atoms:
Ta (0.143, 0.143, 0.000)
Ta (0.143, 0.143, 0.500)
Ta (0.857, 0.857, 0.000)
Ta (0.857, 0.857, 0.500)
Pd (0.264, 0.736, 0.750)
Pd (0.736, 0.264, 0.250)
Pt (0.247, 0.753, 0.250)
Pt (0.309, 0.312, 0.750)
Pt (0.312, 0.309, 0.250)
Pt (0.688, 0.691, 0.750)
Pt (0.691, 0.688, 0.250)
Pt (0.753, 0.247, 0.750)

Results
**ρ**: 17.567 g cm⁻³
**Crystal system**: orthorhombic
**N(E_F)**: 8.7 states/eV/cell
**Space group**: Cmcm (63)
**Calculated formation energy**: -0.555 eV/atom
**Volume**: 16.60 Å³ per atom

12.
Crystalline Ta2Pd5Pt5 at its relaxed geometry. Source: Alexandria, functional PBE.

a = 6.253 Å, b = 6.253 Å, c = 8.925 Å
α = 114.42°, β = 114.42°, γ = 36.84°
Fractional coordinates of all 12 atoms:
Ta (0.085, 0.085, 0.255)
Ta (0.915, 0.915, 0.745)
Pd (0.000, 0.000, 0.500)
Pd (0.165, 0.165, 0.002)
Pd (0.255, 0.255, 0.754)
Pd (0.745, 0.745, 0.246)
Pd (0.835, 0.835, 0.998)
Pt (0.333, 0.333, 0.498)
Pt (0.425, 0.425, 0.249)
Pt (0.500, 0.500, 0.000)
Pt (0.575, 0.575, 0.751)
Pt (0.667, 0.667, 0.502)

Results
**Energy above the lowest structure with this stoichiometry**: 0.0 meV/atom
**ρ**: 16.482 g cm⁻³
**Crystal system**: monoclinic
**N(E_F)**: 5.9 states/eV/cell
**Space group**: C2/m (12)
**Calculated formation energy**: -0.517 eV/atom
**Volume**: 15.70 Å³ per atom